A plane-wave DFT calculation with PBE was carried out for a relaxed Re2HO crystal.

- Crystal system: tetragonal
- Mass density: 14.9 Mg/m³
- Spin magnetization: 0.00 Bohr magnetons per cell
- E: -8.0435 eV per atom

a = 4.259 Å, b = 4.259 Å, c = 9.551 Å
α = 90.00°, β = 90.00°, γ = 90.00°
Space group I-42d (No. 122)
Symmetry-distinct sites (fractional):
Re  0.191  0.250  0.125 x8
H  0.000  0.000  0.000 x4
O  0.000  0.000  0.500 x4